# GGA-PBEsol Sr2Tl, relaxed
# Volume ... 484.0 Å³/cell
# Electronic total energy ... -28.49 eV for the cell shown
# Crystal system ... tetragonal
# Energy relative to the elements ... -0.271 eV per atom
data_Sr2Tl
_chemical_formula_sum 'Sr8 Tl4'
_space_group_name_H-M_alt 'I 41/a m d'
_space_group_IT_number 141
_cell_length_a 3.976
_cell_length_b 3.976
_cell_length_c 30.618
_cell_angle_alpha 90.00
_cell_angle_beta 90.00
_cell_angle_gamma 90.00
loop_
_space_group_symop_operation_xyz
'x,y,z'
'-x,-y,-z'
'-y+1/4,x+3/4,z+1/4'
'y+1/4,-x+3/4,-z+1/4'
'-x+1/2,-y,z+1/2'
'x+1/2,y,-z+1/2'
'y+1/4,-x+1/4,z+3/4'
'-y+1/4,x+1/4,-z+3/4'
'x,-y,-z'
'-x,y,z'
'-y+1/4,-x+1/4,-z+3/4'
'y+1/4,x+1/4,z+3/4'
'-x+1/2,y,-z+1/2'
'x+1/2,-y,z+1/2'
'y+1/4,x+3/4,-z+1/4'
'-y+1/4,-x+3/4,z+1/4'
'x+1/2,y+1/2,z+1/2'
'-x+1/2,-y+1/2,-z+1/2'
'-y+3/4,x+1/4,z+3/4'
'y+3/4,-x+1/4,-z+3/4'
'-x,-y+1/2,z'
'x,y+1/2,-z'
'y+3/4,-x+3/4,z+1/4'
'-y+3/4,x+3/4,-z+1/4'
'x+1/2,-y+1/2,-z+1/2'
'-x+1/2,y+1/2,z+1/2'
'-y+3/4,-x+3/4,-z+1/4'
'y+3/4,x+3/4,z+1/4'
'-x,y+1/2,-z'
'x,-y+1/2,z'
'y+3/4,x+1/4,-z+3/4'
'-y+3/4,-x+1/4,z+3/4'
loop_
_atom_site_label
_atom_site_fract_x
_atom_site_fract_y
_atom_site_fract_z
Sr1 0.000 0.250 0.311
Tl1 0.000 0.250 0.875

# GGA-PBEsol CdI2O2, relaxed
# Volume ... 135.6 Å³/cell
# Electronic total energy ... -11.82 eV for the cell shown
# Crystal system ... tetragonal
# E_form (uncorrected) ... 0.681 eV per atom
data_CdI2O2
_chemical_formula_sum 'Cd1 I2 O2'
_space_group_name_H-M_alt 'P 4/m m m'
_space_group_IT_number 123
_space_group_name_Hall '-P 4 2'
_cell_length_a 5.808
_cell_length_b 5.808
_cell_length_c 4.020
_cell_angle_alpha 90.00
_cell_angle_beta 90.00
_cell_angle_gamma 90.00
loop_
_atom_site_label
_atom_site_fract_x
_atom_site_fract_y
_atom_site_fract_z
Cd1 0.000 0.000 0.000
I1 0.000 0.500 0.000
O1 0.000 0.000 0.500
O2 0.500 0.500 0.500